# 1
# V5Re2Mo4 | the Alexandria database | PBE-GGA | relaxed
data_V5Re2Mo4
_space_group_name_H-M_alt 'P 1'
_space_group_IT_number 1
_space_group_name_Hall 'P 1'
_cell_length_a 2.624
_cell_length_b 7.032
_cell_length_c 9.167
_cell_angle_alpha 94.03
_cell_angle_beta 79.52
_cell_angle_gamma 100.85
loop_
_atom_site_label
_atom_site_type_symbol
_atom_site_fract_x
_atom_site_fract_y
_atom_site_fract_z
Mo1 Mo 0.189 0.358 0.090
Mo2 Mo 0.589 0.542 0.639
Re1 Re 0.775 0.179 0.547
Mo3 Mo 0.411 0.458 0.361
Mo4 Mo 0.811 0.642 0.910
V1 V 0.187 0.085 0.274
V2 V 0.049 0.271 0.819
V3 V 0.951 0.729 0.181
V4 V 0.813 0.915 0.726
Re2 Re 0.225 0.821 0.453
V5 V 0.500 0.000 0.000
# ΔE_f = 0.04 eV per atom

***

# 2
# V3Re3Mo2 | the Alexandria database | PBE-GGA | relaxed
data_V3Re3Mo2
_space_group_name_H-M_alt 'P 1'
_space_group_IT_number 1
_space_group_name_Hall 'P 1'
_cell_length_a 3.081
_cell_length_b 4.336
_cell_length_c 9.099
_cell_angle_alpha 103.78
_cell_angle_beta 99.75
_cell_angle_gamma 90.00
loop_
_atom_site_label
_atom_site_type_symbol
_atom_site_fract_x
_atom_site_fract_y
_atom_site_fract_z
Re1 Re 0.623 0.623 0.245
Mo1 Mo 0.750 0.250 0.500
Mo2 Mo 0.250 0.750 0.500
Re2 Re 0.500 0.000 0.000
V1 V 0.878 0.878 0.756
V2 V 0.122 0.122 0.244
Re3 Re 0.377 0.377 0.755
V3 V 0.000 0.500 0.000
# ΔE_f = -0.24 eV per atom

***

# 3
# V3Re2Mo3 | the Alexandria database | PBE-GGA | relaxed
data_V3Re2Mo3
_space_group_name_H-M_alt 'P 1'
_space_group_IT_number 1
_space_group_name_Hall 'P 1'
_cell_length_a 2.542
_cell_length_b 5.425
_cell_length_c 18.058
_cell_angle_alpha 90.00
_cell_angle_beta 90.00
_cell_angle_gamma 103.55
loop_
_atom_site_label
_atom_site_type_symbol
_atom_site_fract_x
_atom_site_fract_y
_atom_site_fract_z
Re1 Re 0.240 0.479 0.378
V1 V 0.627 0.254 0.005
Mo1 Mo 0.017 0.034 0.876
Mo2 Mo 0.983 0.966 0.376
Mo3 Mo 0.369 0.739 0.750
V2 V 0.373 0.746 0.505
V3 V 0.627 0.254 0.495
V4 V 0.376 0.752 0.250
V5 V 0.373 0.746 0.995
Re2 Re 0.240 0.479 0.122
Mo4 Mo 0.631 0.261 0.250
Mo5 Mo 0.017 0.034 0.624
Mo6 Mo 0.983 0.966 0.124
Re3 Re 0.760 0.521 0.622
Re4 Re 0.760 0.521 0.878
V6 V 0.624 0.248 0.750
# ΔE_f = 0.20 eV per atom

***

# 4
# V3ReMo2 | the Alexandria database | PBE-GGA | relaxed
data_V3ReMo2
_space_group_name_H-M_alt 'P 1'
_space_group_IT_number 1
_space_group_name_Hall 'P 1'
_cell_length_a 3.059
_cell_length_b 3.059
_cell_length_c 9.205
_cell_angle_alpha 90.00
_cell_angle_beta 90.00
_cell_angle_gamma 90.00
loop_
_atom_site_label
_atom_site_type_symbol
_atom_site_fract_x
_atom_site_fract_y
_atom_site_fract_z
Mo1 Mo 0.500 0.500 0.167
V1 V 0.000 0.000 0.664
Re1 Re 0.500 0.500 0.500
V2 V 0.000 0.000 0.000
Mo2 Mo 0.500 0.500 0.833
V3 V 0.000 0.000 0.336
# ΔE_f = -0.22 eV per atom
# Energy above the lowest structure with this stoichiometry = 0.000 eV/atom

***

# 5
# V5Re2Mo | the Alexandria database | PBE-GGA | relaxed
data_V5Re2Mo
_space_group_name_H-M_alt 'P 1'
_space_group_IT_number 1
_space_group_name_Hall 'P 1'
_cell_length_a 4.353
_cell_length_b 5.158
_cell_length_c 10.100
_cell_angle_alpha 90.00
_cell_angle_beta 90.00
_cell_angle_gamma 90.00
loop_
_atom_site_label
_atom_site_type_symbol
_atom_site_fract_x
_atom_site_fract_y
_atom_site_fract_z
Re1 Re 0.500 0.667 0.626
V1 V 0.000 0.349 0.754
V2 V 0.000 0.651 0.246
Re2 Re 0.500 0.333 0.374
Mo1 Mo 0.000 0.000 0.500
V3 V 0.500 0.333 0.118
V4 V 0.000 0.500 0.500
V5 V 0.000 0.849 0.746
Re3 Re 0.500 0.167 0.874
V6 V 0.000 0.000 0.000
V7 V 0.500 0.167 0.618
Mo2 Mo 0.000 0.500 0.000
V8 V 0.500 0.667 0.882
V9 V 0.000 0.151 0.254
Re4 Re 0.500 0.833 0.126
V10 V 0.500 0.833 0.382
# ΔE_f = -0.15 eV per atom

***

# 6
# VRe2Mo | the Alexandria database | PBE-GGA | relaxed
data_VRe2Mo
_space_group_name_H-M_alt 'P 1'
_space_group_IT_number 1
_space_group_name_Hall 'P 1'
_cell_length_a 3.079
_cell_length_b 3.079
_cell_length_c 6.224
_cell_angle_alpha 90.00
_cell_angle_beta 90.00
_cell_angle_gamma 90.00
loop_
_atom_site_label
_atom_site_type_symbol
_atom_site_fract_x
_atom_site_fract_y
_atom_site_fract_z
Re1 Re 0.000 0.000 0.761
Re2 Re 0.000 0.000 0.239
V1 V 0.500 0.500 0.000
Mo1 Mo 0.500 0.500 0.500
# ΔE_f = -0.15 eV per atom
# Energy above the lowest structure with this stoichiometry = 0.000 eV/atom

***

# 7
# V3Re2Mo | the Alexandria database | PBE-GGA | relaxed
data_V3Re2Mo
_space_group_name_H-M_alt 'P 1'
_space_group_IT_number 1
_space_group_name_Hall 'P 1'
_cell_length_a 4.311
_cell_length_b 7.470
_cell_length_c 7.471
_cell_angle_alpha 120.00
_cell_angle_beta 106.77
_cell_angle_gamma 106.77
loop_
_atom_site_label
_atom_site_type_symbol
_atom_site_fract_x
_atom_site_fract_y
_atom_site_fract_z
Re1 Re 0.250 0.249 0.751
Mo1 Mo 0.250 0.584 0.416
Re2 Re 0.750 0.083 0.917
Mo2 Mo 0.750 0.416 0.584
V1 V 0.000 0.166 0.333
V2 V 0.000 0.834 0.667
Re3 Re 0.750 0.751 0.249
V3 V 0.500 0.333 0.166
V4 V 0.000 0.500 0.000
V5 V 0.500 0.667 0.834
V6 V 0.500 0.000 0.500
Re4 Re 0.250 0.917 0.083
# ΔE_f = -0.30 eV per atom
# Energy above the lowest structure with this stoichiometry = 0.000 eV/atom

***

# 8
# V2Re2Mo3 | the Alexandria database | PBE-GGA | relaxed
data_V2Re2Mo3
_space_group_name_H-M_alt 'P 1'
_space_group_IT_number 1
_space_group_name_Hall 'P 1'
_cell_length_a 4.384
_cell_length_b 4.384
_cell_length_c 6.755
_cell_angle_alpha 90.02
_cell_angle_beta 108.94
_cell_angle_gamma 119.95
loop_
_atom_site_label
_atom_site_type_symbol
_atom_site_fract_x
_atom_site_fract_y
_atom_site_fract_z
V1 V 0.144 0.572 0.715
Mo1 Mo 0.000 0.000 0.000
Mo2 Mo 0.715 0.857 0.572
Re1 Re 0.428 0.714 0.143
Mo3 Mo 0.285 0.143 0.428
V2 V 0.856 0.428 0.285
Re2 Re 0.572 0.286 0.857
# ΔE_f = -0.16 eV per atom

***

# 9
# VRe2Mo | the Alexandria database | PBE-GGA | relaxed
data_VRe2Mo
_space_group_name_H-M_alt 'P 1'
_space_group_IT_number 1
_space_group_name_Hall 'P 1'
_cell_length_a 4.378
_cell_length_b 4.378
_cell_length_c 4.378
_cell_angle_alpha 60.00
_cell_angle_beta 60.00
_cell_angle_gamma 60.00
loop_
_atom_site_label
_atom_site_type_symbol
_atom_site_fract_x
_atom_site_fract_y
_atom_site_fract_z
Mo1 Mo 0.500 0.500 0.500
V1 V 0.000 0.000 0.000
Re1 Re 0.750 0.750 0.750
Re2 Re 0.250 0.250 0.250
# ΔE_f = -0.13 eV per atom
# Energy above the lowest structure with this stoichiometry = 0.021 eV/atom

***

# 10
# V4ReMo4 | the Alexandria database | PBE-GGA | relaxed
data_V4ReMo4
_space_group_name_H-M_alt 'P 1'
_space_group_IT_number 1
_space_group_name_Hall 'P 1'
_cell_length_a 3.079
_cell_length_b 6.717
_cell_length_c 6.717
_cell_angle_alpha 86.99
_cell_angle_beta 76.75
_cell_angle_gamma 76.75
loop_
_atom_site_label
_atom_site_type_symbol
_atom_site_fract_x
_atom_site_fract_y
_atom_site_fract_z
Mo1 Mo 0.500 0.830 0.670
Mo2 Mo 0.170 0.830 0.330
Re1 Re 0.500 0.500 0.000
V1 V 0.165 0.170 0.000
V2 V 0.835 0.830 0.000
Mo3 Mo 0.830 0.170 0.670
V3 V 0.835 0.500 0.330
Mo4 Mo 0.500 0.170 0.330
V4 V 0.165 0.500 0.670
# ΔE_f = -0.19 eV per atom

***

# 11
# V2ReMo | the Alexandria database | PBE-GGA | relaxed
data_V2ReMo
_space_group_name_H-M_alt 'P 1'
_space_group_IT_number 1
_space_group_name_Hall 'P 1'
_cell_length_a 3.050
_cell_length_b 4.326
_cell_length_c 4.326
_cell_angle_alpha 90.00
_cell_angle_beta 90.00
_cell_angle_gamma 90.00
loop_
_atom_site_label
_atom_site_type_symbol
_atom_site_fract_x
_atom_site_fract_y
_atom_site_fract_z
Mo1 Mo 0.500 0.000 0.000
V1 V 0.000 0.000 0.500
V2 V 0.000 0.500 0.000
Re1 Re 0.500 0.500 0.500
# ΔE_f = -0.28 eV per atom
# Energy above the lowest structure with this stoichiometry = 0.002 eV/atom

***

# 12
# V5Re2Mo5 | the Alexandria database | PBE-GGA | relaxed
data_V5Re2Mo5
_space_group_name_H-M_alt 'P 1'
_space_group_IT_number 1
_space_group_name_Hall 'P 1'
_cell_length_a 3.081
_cell_length_b 6.752
_cell_length_c 9.068
_cell_angle_alpha 74.03
_cell_angle_beta 80.22
_cell_angle_gamma 76.81
loop_
_atom_site_label
_atom_site_type_symbol
_atom_site_fract_x
_atom_site_fract_y
_atom_site_fract_z
Mo1 Mo 0.750 0.252 0.248
Mo2 Mo 0.000 0.000 0.000
Mo3 Mo 0.835 0.831 0.498
V1 V 0.334 0.333 0.999
Mo4 Mo 0.250 0.748 0.752
V2 V 0.419 0.914 0.247
V3 V 0.581 0.086 0.753
Re1 Re 0.083 0.586 0.248
Re2 Re 0.917 0.414 0.752
Mo5 Mo 0.165 0.169 0.502
V4 V 0.500 0.500 0.500
V5 V 0.666 0.667 0.001
# ΔE_f = -0.21 eV per atom